# 1
Mn2PdPt, optimized geometry, DFT PBE; E_form = 417.1 meV per atom; SG = Fm-3m (225); DFT total energy = -6.98 eV/atom; volume = 53.9 Å³/f.u.
1.0
-2.292 3.536 0.466
-3.648 -0.107 2.158
-0.272 1.865 3.798
Pd Mn Pt
1 2 1
direct
0.250 0.250 0.250
0.000 0.000 0.000
0.500 0.500 0.500
0.750 0.750 0.750

---

# 2
Mn4Pd5Pt, optimized geometry, DFT PBE; E_form = -253.3 meV per atom; SG = C2/m (12); DFT total energy = -7.12 eV/atom; volume = 151.8 Å³/f.u.
1.0
3.873 0.000 -1.328
-0.668 5.089 -1.947
0.490 -0.484 7.741
Pd Pt Mn
5 1 4
direct
0.109 0.385 0.219
0.500 0.500 0.000
0.891 0.615 0.781
0.706 0.796 0.412
0.294 0.204 0.588
0.500 0.000 0.000
0.697 0.280 0.395
0.908 0.141 0.817
0.303 0.720 0.605
0.092 0.859 0.183

---

# 3
Mn2Pd3Pt3, optimized geometry, DFT PBE; E_form = -295.6 meV per atom; SG = Pmmm (47); DFT total energy = -6.80 eV/atom; volume = 120.5 Å³/f.u.
1.0
3.925 0.000 0.000
0.000 3.912 0.000
0.000 0.000 7.849
Pd Mn Pt
3 2 3
direct
0.500 0.500 0.751
0.500 0.000 0.000
0.500 0.500 0.249
0.000 0.000 0.750
0.000 0.000 0.250
0.500 0.000 0.500
0.000 0.500 0.000
0.000 0.500 0.500

---

# 4
MnPd2Pt2, optimized geometry, DFT PBE; E_form = 469.0 meV per atom; SG = I4/mmm (139); DFT total energy = -5.86 eV/atom; volume = 94.4 Å³/f.u.; ΔE to the lowest computed polymorph = 438 meV/atom
1.0
4.947 0.000 0.000
0.000 4.947 0.000
-2.474 -2.474 3.856
Pd Pt Mn
2 2 1
direct
0.337 0.337 0.674
0.663 0.663 0.326
0.750 0.250 0.500
0.250 0.750 0.500
0.000 0.000 0.000

---

# 5
MnPd3Pt4, optimized geometry, DFT PBE; E_form = -161.7 meV per atom; SG = C2/m (12); DFT total energy = -6.28 eV/atom; volume = 122.8 Å³/f.u.; ΔE to the lowest computed polymorph = 27 meV/atom
1.0
2.811 0.000 0.000
0.000 4.763 -0.600
-1.405 -2.900 9.540
Pt Pd Mn
4 3 1
direct
0.623 0.871 0.246
0.377 0.129 0.754
0.879 0.636 0.758
0.121 0.364 0.242
0.751 0.751 0.502
0.000 0.500 0.000
0.249 0.249 0.498
0.500 0.000 0.000

---

# 6
Mn2PdPt, optimized geometry, DFT PBE; E_form = 1146.8 meV per atom; SG = I-42d (122); DFT total energy = -6.25 eV/atom; volume = 76.5 Å³/f.u.
1.0
5.365 0.000 0.000
0.000 5.365 0.000
2.683 2.683 5.316
Pd Pt Mn
2 2 4
direct
0.500 0.500 0.000
0.250 0.750 0.500
0.000 0.000 0.000
0.750 0.250 0.500
0.875 0.878 0.750
0.122 0.625 0.250
0.375 0.372 0.750
0.628 0.125 0.250

---

# 7
Mn4Pd4Pt5, optimized geometry, DFT PBE; E_form = -294.2 meV per atom; SG = I4/m (87); DFT total energy = -7.04 eV/atom; volume = 197.3 Å³/f.u.
1.0
3.837 0.000 0.976
1.918 7.059 0.488
0.179 0.000 7.330
Mn Pd Pt
4 4 5
direct
0.142 0.089 0.628
0.231 0.628 0.911
0.769 0.372 0.089
0.858 0.911 0.372
0.616 0.299 0.470
0.085 0.530 0.299
0.384 0.701 0.530
0.915 0.470 0.701
0.446 0.247 0.862
0.308 0.138 0.247
0.692 0.862 0.753
0.000 0.000 0.000
0.554 0.753 0.138

---

# 8
MnPd2Pt8, optimized geometry, DFT PBE; E_form = 198.1 meV per atom; SG = C2/m (12); DFT total energy = -5.97 eV/atom; volume = 185.7 Å³/f.u.; ΔE to the lowest computed polymorph = 349 meV/atom
1.0
4.710 0.473 0.393
0.789 6.677 1.060
0.789 2.263 6.371
Pt Pd Mn
8 2 1
direct
0.351 0.360 0.360
0.649 0.640 0.640
0.805 0.231 0.627
0.805 0.627 0.231
0.060 0.774 0.774
0.940 0.226 0.226
0.195 0.769 0.373
0.195 0.373 0.769
0.498 0.877 0.877
0.502 0.123 0.123
0.000 0.000 0.000

---

# 9
Mn2Pd2Pt3, optimized geometry, DFT PBE; E_form = -197.3 meV per atom; SG = C2/m (12); DFT total energy = -6.89 eV/atom; volume = 107.9 Å³/f.u.
1.0
-0.188 4.566 0.799
-1.368 -1.759 -3.734
-4.172 -1.247 6.140
Pt Pd Mn
3 2 2
direct
0.285 0.569 0.932
0.000 0.000 0.500
0.715 0.431 0.068
0.838 0.676 0.768
0.162 0.324 0.232
0.427 0.854 0.654
0.573 0.146 0.346

---

# 10
MnPd2Pt6, optimized geometry, DFT PBE; E_form = -26.6 meV per atom; SG = P-31m (162); DFT total energy = -6.23 eV/atom; volume = 140.8 Å³/f.u.; ΔE to the lowest computed polymorph = 0 meV/atom
1.0
-1.952 -1.453 1.238
1.180 -5.801 -4.948
3.967 0.299 6.610
Pt Mn Pd
6 1 2
direct
0.772 0.674 0.000
0.228 0.000 0.326
0.772 0.000 0.674
0.772 0.326 0.326
0.228 0.326 0.000
0.228 0.674 0.674
0.000 0.000 0.000
0.500 0.333 0.667
0.500 0.667 0.333

---

# 11
Mn2Pd8Pt, optimized geometry, DFT PBE; E_form = -151.6 meV per atom; SG = C2/m (12); DFT total energy = -6.14 eV/atom; volume = 167.6 Å³/f.u.; ΔE to the lowest computed polymorph = 0 meV/atom
1.0
-3.246 -1.488 -1.741
3.315 -1.203 -5.153
2.092 -5.001 4.908
Pd Mn Pt
8 2 1
direct
0.319 0.088 0.639
0.857 0.802 0.714
0.955 0.271 0.909
0.403 0.542 0.806
0.597 0.458 0.194
0.681 0.912 0.361
0.143 0.198 0.286
0.045 0.729 0.091
0.776 0.351 0.552
0.224 0.649 0.448
0.500 0.000 0.000

---

# 12
Mn5Pd6Pt, optimized geometry, DFT PBE; E_form = -230.7 meV per atom; SG = Immm (71); DFT total energy = -7.15 eV/atom; volume = 182.2 Å³/f.u.
1.0
-3.260 0.595 -2.442
-2.507 -3.692 5.916
2.480 6.747 1.803
Pd Mn Pt
6 5 1
direct
0.737 0.568 0.905
0.263 0.095 0.432
0.775 0.275 0.275
0.225 0.725 0.725
0.263 0.432 0.095
0.737 0.905 0.568
0.000 0.323 0.677
0.500 0.149 0.851
0.000 0.677 0.323
0.500 0.851 0.149
0.500 0.500 0.500
0.000 0.000 0.000

---

Which value of E_form does entry 7 give?
-294.2 meV per atom